Computed, not measured: a geometry-optimized MnO structure at the GGA+U level of DFT.

Results
Calculated total energy, eV/atom: -7.729

Cell lengths 8.1817, 8.1817, 3.5670 Å; angles 90.00, 90.00, 120.00 degrees
With the nearest neighbours (Å) after each atom.
Positions (direct):
O 0.6704 0.0767 0.2500  4 Mn 2.04-2.18
Mn 0.9202 0.3256 0.2500  4 O 2.04-2.18
O 0.3296 0.9233 0.7500  4 Mn 2.04-2.18
Mn 0.4054 0.0798 0.2500  4 O 2.04-2.18
O 0.0767 0.4062 0.7500  4 Mn 2.04-2.18
O 0.9233 0.5938 0.2500  4 Mn 2.04-2.18
Mn 0.5946 0.9202 0.7500  4 O 2.04-2.18
Mn 0.6744 0.5946 0.2500  4 O 2.04-2.18
O 0.4062 0.3296 0.2500  4 Mn 2.04-2.18
O 0.5938 0.6704 0.7500  4 Mn 2.04-2.18
Mn 0.3256 0.4054 0.7500  4 O 2.04-2.18
Mn 0.0798 0.6744 0.7500  4 O 2.04-2.18